{
  "formula": "MgAg2PbCl6",
  "functional": "PBE",
  "state": "optimized geometry",
  "cell": [[6.909, 0.000, 0.000], [-3.451, 5.990, 0.000], [-3.451, -1.989, 6.209]],
  "species": ["Mg", "Ag", "Ag", "Pb", "Cl", "Cl", "Cl", "Cl", "Cl", "Cl"],
  "fractional_positions": [[0.000, 0.000, 0.000], [0.590, 0.794, 0.385], [0.617, 0.309, 0.926], [0.013, 0.506, 0.519], [0.123, 0.922, 0.745], [0.128, 0.753, 0.217], [0.463, 0.374, 0.217], [0.544, 0.622, 0.745], [0.822, 0.201, 0.745], [0.843, 0.089, 0.218]],
  "space_group": "No. 1",
  "dos_at_fermi_per_ev_fu": 0.0,
  "e_form_raw_ev_per_atom": -1.050
}

{
  "formula": "MgAgPt2Cl",
  "functional": "PBE",
  "state": "optimized geometry",
  "cell": [[4.951, 0.000, 0.000], [0.000, 4.951, 0.000], [0.000, 0.000, 5.064]],
  "species": ["Mg", "Ag", "Pt", "Pt", "Cl"],
  "fractional_positions": [[0.000, 0.000, 0.000], [0.000, 0.000, 0.500], [0.000, 0.500, 0.500], [0.500, 0.000, 0.500], [0.500, 0.500, 0.000]],
  "space_group": "No. 123",
  "dos_at_fermi_per_ev_fu": 3.5,
  "e_form_raw_ev_per_atom": 0.827
}

{
  "formula": "PuMgAgCl6",
  "functional": "PBE",
  "state": "optimized geometry",
  "cell": [[6.758, 0.000, 0.000], [-3.379, 5.853, 0.000], [0.000, 0.000, 12.060]],
  "species": ["Pu", "Pu", "Mg", "Mg", "Ag", "Ag", "Cl", "Cl", "Cl", "Cl", "Cl", "Cl", "Cl", "Cl", "Cl", "Cl", "Cl", "Cl"],
  "fractional_positions": [[0.333, 0.667, 0.250], [0.667, 0.333, 0.750], [0.333, 0.667, 0.750], [0.667, 0.333, 0.250], [0.000, 0.000, 0.000], [0.000, 0.000, 0.500], [0.023, 0.360, 0.631], [0.023, 0.663, 0.869], [0.337, 0.360, 0.869], [0.337, 0.977, 0.631], [0.360, 0.023, 0.131], [0.360, 0.337, 0.369], [0.640, 0.663, 0.631], [0.640, 0.977, 0.869], [0.663, 0.023, 0.369], [0.663, 0.640, 0.131], [0.977, 0.337, 0.131], [0.977, 0.640, 0.369]],
  "space_group": "No. 163",
  "dos_at_fermi_per_ev_fu": 10.4,
  "e_form_raw_ev_per_atom": -1.529
}